DFT (PBE) results for an optimized crystal structure of SmHoSe.

Distance to the lowest polymorph of the same formula (eV per formula unit): 0.000

a b c (Å): 3.8843 3.8843 6.6156
angles (deg): 90.00 90.00 120.00
Last column: nearest neighbours and their distance in Å.
Space group P3m1 (No. 156)
Unique sites:
Sm (0.0000, 0.0000, 0.0000) x1  3 Se 2.94
Ho (0.3333, 0.6667, 0.5569) x1  3 Se 2.87
Se (0.6667, 0.3333, 0.2873) x1  3 Ho 2.87, 3 Sm 2.94

***

DFT (PBE) results for an optimized crystal structure of Tl2CoHg.

Distance to the lowest polymorph of the same formula (eV per formula unit): 1.103

a b c (Å): 3.3435 5.0312 5.5588
angles (deg): 90.00 90.00 90.00
Last column: nearest neighbours and their distance in Å.
Space group Pmmm (No. 47)
Unique sites:
Tl (0.0000, 0.0000, 0.0000) x1  4 Hg 3.02, 6 Tl 3.24-3.34
Tl (0.5000, 0.0000, 0.5000) x1  4 Co 3.02, 6 Tl 3.24-3.34
Co (0.0000, 0.5000, 0.5000) x1  4 Tl 3.02, 4 Hg 3.24, 2 Co 3.34
Hg (0.5000, 0.5000, 0.0000) x1  4 Tl 3.02, 4 Co 3.24, 2 Hg 3.34

***

DFT (PBE) results for an optimized crystal structure of KTaBr.

Distance to the lowest polymorph of the same formula (eV per formula unit): 0.000

a b c (Å): 3.3425 3.3425 7.8125
angles (deg): 90.00 90.00 120.00
Last column: nearest neighbours and their distance in Å.
Space group P3m1 (No. 156)
Unique sites:
K (0.0000, 0.0000, 0.0000) x1  6 K 3.34, 3 Br 3.51, 3 Ta 3.55
Ta (0.3333, 0.6667, 0.3813) x1  3 Br 2.71
Br (0.6667, 0.3333, 0.6246) x1  3 Ta 2.71

***

DFT (PBE) results for an optimized crystal structure of Mn4InNi.

Raw total energy (eV per cell): -173.20

a b c (Å): 6.7740 6.7740 6.7740
angles (deg): 90.00 90.00 90.00
Last column: nearest neighbours and their distance in Å.
Space group F-43m (No. 216)
Unique sites:
Mn (0.1254, 0.1254, 0.1254) x16  6 Mn 2.39-2.40
In (0.2500, 0.2500, 0.7500) x4  12 Mn 2.81, 4 Ni 2.93
Ni (0.0000, 0.0000, 0.5000) x4  12 Mn 2.81, 4 In 2.93

***

DFT (PBE) results for an optimized crystal structure of Co2AgRu2.

Distance to the lowest polymorph of the same formula (eV per formula unit): 0.000

a b c (Å): 7.1788 7.1788 2.6587
angles (deg): 90.00 90.00 90.00
Last column: nearest neighbours and their distance in Å.
Space group P4/mbm (No. 127)
Unique sites:
Co (0.1209, 0.3791, 0.0000) x4  3 Co 2.46-2.66, 6 Ru 2.50-2.51
Ag (0.0000, 0.0000, 0.0000) x2  2 Ag 2.66, 4 Co 2.86
Ru (0.1699, 0.6699, 0.5000) x4  6 Co 2.50-2.51, 2 Ru 2.66

***

DFT (PBE) results for an optimized crystal structure of Gd2ZnPt.

Raw total energy (eV per cell): -38.55

a b c (Å): 3.5931 3.5931 7.0253
angles (deg): 90.00 90.00 90.00
Last column: nearest neighbours and their distance in Å.
Space group P4/mmm (No. 123)
Unique sites:
Gd (0.0000, 0.0000, 0.2413) x2  4 Pt 3.05, 4 Zn 3.12, 1 Gd 3.39
Zn (0.5000, 0.5000, 0.5000) x1  8 Gd 3.12
Pt (0.5000, 0.5000, 0.0000) x1  8 Gd 3.05

***

DFT (PBE) results for an optimized crystal structure of TaOsSe2.

Distance to the lowest polymorph of the same formula (eV per formula unit): 2.676

a b c (Å): 5.7635 5.7635 10.8333
angles (deg): 90.00 90.00 90.00
Last column: nearest neighbours and their distance in Å.
Space group I-42d (No. 122)
Unique sites:
Ta (0.0000, 0.0000, 0.0000) x4  4 Se 2.51
Os (0.0000, 0.0000, 0.5000) x4  4 Se 2.39
Se (0.2325, 0.2500, 0.6250) x8  2 Os 2.39, 2 Ta 2.51

***

DFT (PBE) results for an optimized crystal structure of Na12GaBi7.

Raw total energy (eV per cell): -148.02

a b c (Å): 13.0027 13.0027 13.7972
angles (deg): 90.00 90.00 120.00
Last column: nearest neighbours and their distance in Å.
Space group R-3 (No. 148, hexagonal axes)
Unique sites:
Na (0.0425, 0.4708, 0.2333) x18  3 Bi 3.21-3.36, 1 Na 3.31, 1 Ga 3.46
Na (0.0751, 0.1818, 0.8375) x18  3 Bi 3.04-3.40, 1 Na 3.31
Ga (0.0000, 0.0000, 0.5000) x3  6 Bi 3.28, 6 Na 3.46
Bi (0.0000, 0.0000, 0.0000) x3  6 Na 3.04
Bi (0.0609, 0.2029, 0.3338) x18  5 Na 3.08-3.40, 1 Bi 3.12, 1 Ga 3.28

***

DFT (PBE) results for an optimized crystal structure of Nd2GaO.

Distance to the lowest polymorph of the same formula (eV per formula unit): 0.388

a b c (Å): 3.5102 3.4143 15.0623
angles (deg): 90.00 90.00 90.00
Last column: nearest neighbours and their distance in Å.
Space group Amm2 (No. 38)
Unique sites:
Nd (0.0000, 0.0000, 0.0000) x2  1 O 2.41
Nd (0.5000, 0.0000, 0.3018) x2  4 O 2.52
Ga (0.5000, 0.0000, 0.6262) x2  6 Nd 3.10-3.15, 2 Ga 3.41
O (0.0000, 0.0000, 0.8401) x2  5 Nd 2.41-2.52

***

DFT (PBE) results for an optimized crystal structure of NbRePRh2.

Raw total energy (eV per cell): -34.95

a b c (Å): 4.6723 4.6723 4.6654
angles (deg): 90.00 90.00 90.00
Last column: nearest neighbours and their distance in Å.
Space group P4/mmm (No. 123)
Unique sites:
Nb (0.0000, 0.0000, 0.0000) x1  2 P 2.33, 4 Rh 2.34
Re (0.5000, 0.5000, 0.5000) x1  8 Rh 3.30, 4 P 3.30
P (0.0000, 0.0000, 0.5000) x1  2 Nb 2.33
Rh (0.0000, 0.5000, 0.0000) x2  2 Nb 2.34

***

DFT (PBE) results for an optimized crystal structure of MgGaGe.

Distance to the lowest polymorph of the same formula (eV per formula unit): 0.004

a b c (Å): 9.4201 6.4579 4.2211
angles (deg): 90.00 113.85 90.00
Last column: nearest neighbours and their distance in Å.
Space group Cm (No. 8)
Unique sites:
Mg (0.0000, 0.0000, 0.0000) x2  4 Ga 2.91-2.98, 6 Ge 3.05-3.21
Mg (0.1453, 0.5000, 0.1495) x2  4 Ge 2.89-2.94, 4 Ga 3.04-3.08
Ga (0.4178, 0.2010, 0.4144) x4  1 Ga 2.60, 3 Ge 2.68-2.75
Ge (0.2199, 0.2055, 0.7257) x4  1 Ge 2.65, 3 Ga 2.68-2.75, 2 Mg 2.89-2.94

***

DFT (PBE) results for an optimized crystal structure of BaFe2Mo.

Distance to the lowest polymorph of the same formula (eV per formula unit): 0.000

a b c (Å): 4.2209 4.2209 17.9582
angles (deg): 90.00 90.00 120.00
Last column: nearest neighbours and their distance in Å.
Space group R-3m (No. 166, hexagonal axes)
Unique sites:
Ba (0.0000, 0.0000, 0.0000) x3  8 Fe 3.39-3.56
Fe (0.0000, 0.0000, 0.1888) x6  3 Mo 2.47, 3 Fe 2.56
Mo (0.0000, 0.0000, 0.5000) x3  6 Fe 2.47